Entry 1:
! AlSnCl2 | Alexandria via LeMat-Bulk | PBE | relaxed; values from VASP
&SYSTEM
  ibrav = 0, nat = 16, ntyp = 3
/
ATOMIC_SPECIES
Al 26.98 Al.upf
Sn 118.71 Sn.upf
Cl 35.45 Cl.upf
CELL_PARAMETERS angstrom
7.286 0.000 0.000
0.000 7.286 0.000
0.000 0.000 7.286
ATOMIC_POSITIONS crystal
Al 0.000 0.000 0.000
Al 0.000 0.500 0.500
Al 0.500 0.000 0.500
Al 0.500 0.500 0.000
Sn 0.000 0.000 0.500
Sn 0.000 0.500 0.000
Sn 0.500 0.000 0.000
Sn 0.500 0.500 0.500
Cl 0.250 0.250 0.250
Cl 0.250 0.250 0.750
Cl 0.250 0.750 0.250
Cl 0.250 0.750 0.750
Cl 0.750 0.250 0.250
Cl 0.750 0.250 0.750
Cl 0.750 0.750 0.250
Cl 0.750 0.750 0.750
! **E_tot**: -3.070 eV/atom
! **Formation energy from raw total energies**: -0.210 eV/atom
! **Energy above the lowest structure with this stoichiometry**: 237 meV per atom
! **M_tot**: 0.00 μB/f.u.

Entry 2:
! AlSnCl4 | Alexandria via LeMat-Bulk | PBE | relaxed; values from VASP
&SYSTEM
  ibrav = 0, nat = 12, ntyp = 3
/
ATOMIC_SPECIES
Al 26.98 Al.upf
Sn 118.71 Sn.upf
Cl 35.45 Cl.upf
CELL_PARAMETERS angstrom
8.181 0.000 0.000
0.000 8.181 0.000
0.000 0.000 6.084
ATOMIC_POSITIONS crystal
Al 0.000 0.000 0.000
Al 0.500 0.500 0.500
Sn 0.000 0.500 0.250
Sn 0.500 0.000 0.750
Cl 0.138 0.837 0.210
Cl 0.163 0.138 0.790
Cl 0.337 0.362 0.290
Cl 0.362 0.663 0.710
Cl 0.638 0.337 0.710
Cl 0.663 0.638 0.290
Cl 0.837 0.862 0.790
Cl 0.862 0.163 0.210
! **E_tot**: -3.602 eV/atom
! **Formation energy from raw total energies**: -1.080 eV/atom
! **M_tot**: 1.00 μB/f.u.

Entry 3:
! AlSn2Cl8 | Alexandria via LeMat-Bulk | PBE | relaxed; values from VASP
&SYSTEM
  ibrav = 0, nat = 11, ntyp = 3
/
ATOMIC_SPECIES
Al 26.98 Al.upf
Sn 118.71 Sn.upf
Cl 35.45 Cl.upf
CELL_PARAMETERS angstrom
6.507 0.000 0.000
1.210 6.736 0.000
0.095 2.572 7.957
ATOMIC_POSITIONS crystal
Al 0.000 0.000 0.000
Sn 0.497 0.015 0.737
Sn 0.503 0.985 0.263
Cl 0.098 0.224 0.751
Cl 0.112 0.200 0.153
Cl 0.330 0.777 0.041
Cl 0.422 0.757 0.575
Cl 0.578 0.243 0.425
Cl 0.670 0.223 0.959
Cl 0.888 0.800 0.847
Cl 0.902 0.776 0.249
! **E_tot**: -3.504 eV/atom
! **Formation energy from raw total energies**: -1.093 eV/atom
! **Energy above the lowest structure with this stoichiometry**: 0 meV per atom
! **M_tot**: 0.00 μB/f.u.

Entry 4:
! AlSnCl2 | Alexandria via LeMat-Bulk | PBE | relaxed; values from VASP
&SYSTEM
  ibrav = 0, nat = 12, ntyp = 3
/
ATOMIC_SPECIES
Al 26.98 Al.upf
Sn 118.71 Sn.upf
Cl 35.45 Cl.upf
CELL_PARAMETERS angstrom
3.344 0.000 0.000
-1.672 2.896 0.000
0.000 0.000 28.452
ATOMIC_POSITIONS crystal
Al 0.000 0.000 0.000
Al 0.333 0.667 0.667
Al 0.667 0.333 0.333
Sn 0.000 0.000 0.500
Sn 0.333 0.667 0.167
Sn 0.667 0.333 0.833
Cl 0.000 0.000 0.081
Cl 0.000 0.000 0.919
Cl 0.333 0.667 0.586
Cl 0.333 0.667 0.748
Cl 0.667 0.333 0.252
Cl 0.667 0.333 0.414
! **E_tot**: -3.307 eV/atom
! **Formation energy from raw total energies**: -0.447 eV/atom
! **Energy above the lowest structure with this stoichiometry**: 0 meV per atom
! **M_tot**: 0.00 μB/f.u.